A plane-wave DFT calculation with GGA+U was carried out for a geometry-optimized CaCoP2O8 structure.

As for the total DFT energy (no corrections): -6.7523 eV per atom. As for the density: 3.58 g/cm3.

The structure belongs to space group R-3 (No. 148, hexagonal axes); the cell edges are 4.6542, 4.6542 and 21.4290 Å and the angles 90.00°, 90.00° and 120.00°. Symmetry generates all atoms from Ca at (0.0000, 0.0000, 0.0000), Co at (0.0000, 0.0000, 0.5000), P at (0.0000, 0.0000, 0.2405), O at (0.0000, 0.0000, 0.3121) and O at (0.0030, 0.3571, 0.8860).